(1)
# Zr3N2O3

Zr3N2O3 after structural relaxation (PBEsol, Alexandria via LeMat-Bulk).

abc: 4.032 10.598 10.586
angles: 90.00 90.00 90.00
Space group Cmcm (No. 63)
One atom of each set of equivalent atoms:
Zr1 0.000 0.144 0.057
Zr2 0.000 0.192 0.750
N1 0.000 0.299 0.579
O1 0.000 0.044 0.616
O2 0.000 0.246 0.250

Output
**Formation energy (no corrections)**: -2713 meV/atom
**ρ**: 5134 kg/m³
**Density of states at the Fermi level**: 0.00 states/eV/f.u.
**Energy above the lowest structure with this stoichiometry**: 0.000 eV/atom



(2)
# FeB3Rh6

FeB3Rh6 after structural relaxation (PBEsol, Alexandria via LeMat-Bulk).

abc: 12.790 7.424 4.676
angles: 90.00 90.32 90.00
Space group Cm (No. 8)
One atom of each set of equivalent atoms:
Fe1 0.000 0.178 0.000
B1 0.085 0.000 0.276
B2 0.175 0.284 0.768
B3 0.367 0.277 0.274
B4 0.461 0.000 0.760
Rh1 0.040 0.308 0.502
Rh2 0.103 0.500 0.996
Rh3 0.143 0.000 0.698
Rh4 0.207 0.187 0.180
Rh5 0.228 0.500 0.516
Rh6 0.322 0.500 0.020
Rh7 0.334 0.188 0.688
Rh8 0.400 0.000 0.172
Rh9 0.438 0.500 0.510

Output
**E_form**: -0.2817 eV/atom
**ρ**: 10558 kg/m³
**Density of states at the Fermi level**: 9.55 states/eV/f.u.



(3)
# KAuSe2N

KAuSe2N after structural relaxation (PBEsol, Alexandria via LeMat-Bulk).

abc: 5.539 5.539 3.687
angles: 90.00 90.00 90.00
Space group P4/mmm (No. 123)
One atom of each set of equivalent atoms:
K1 0.000 0.000 0.000
Au1 0.500 0.500 0.500
Se1 0.000 0.500 0.500
N1 0.500 0.500 0.000

Output
**Formation energy (no corrections)**: 464 meV/atom
**ρ**: 5988 kg/m³
**Density of states at the Fermi level**: 3.97 states/eV/f.u.



(4)
# YBeAg2

YBeAg2 after structural relaxation (PBEsol, Alexandria via LeMat-Bulk).

abc: 3.978 3.552 10.423
angles: 90.00 90.00 90.00
Space group Amm2 (No. 38)
One atom of each set of equivalent atoms:
Y1 0.000 0.000 0.000
Be1 0.500 0.000 0.383
Ag1 0.000 0.000 0.274
Ag2 0.500 0.000 0.674

Output
**E_form**: 0.0135 eV/atom
**ρ**: 7074 kg/m³
**Density of states at the Fermi level**: 2.40 states/eV/f.u.



(5)
# K2SrCl4

K2SrCl4 after structural relaxation (PBEsol, Alexandria via LeMat-Bulk).

abc: 5.1942 5.1942 26.2013
angles: 90.00 90.00 120.00
Space group R-3m (No. 166, hexagonal axes)
One atom of each set of equivalent atoms:
K1 0.0000 0.0000 0.2299
Sr1 0.0000 0.0000 0.0000
Cl1 0.0000 0.0000 0.1108
Cl2 0.0000 0.0000 0.3613

Output
**Formation energy (no corrections)**: -2123 meV/atom
**ρ**: 2503 kg/m³
**Density of states at the Fermi level**: 0.00 states/eV/f.u.
**Energy above the lowest structure with this stoichiometry**: 0.040 eV/atom



(6)
# NbAlPCl2

NbAlPCl2 after structural relaxation (PBEsol, Alexandria via LeMat-Bulk).

abc: 4.845 4.845 4.882
angles: 90.00 90.00 90.00
Space group P4/mmm (No. 123)
One atom of each set of equivalent atoms:
Nb1 0.000 0.000 0.000
Al1 0.500 0.500 0.500
P1 0.000 0.000 0.500
Cl1 0.000 0.500 0.000

Output
**Formation energy (no corrections)**: -164 meV/atom
**ρ**: 3213 kg/m³
**Density of states at the Fermi level**: 1.77 states/eV/f.u.



(7)
# KAlTc2

KAlTc2 after structural relaxation (PBEsol, Alexandria via LeMat-Bulk).

abc: 5.578 9.503 2.535
angles: 90.00 90.00 90.00
Space group Cmmm (No. 65)
One atom of each set of equivalent atoms:
K1 0.000 0.000 0.000
Al1 0.000 0.500 0.000
Tc1 0.250 0.250 0.500

Output
**E_form**: 1.1226 eV/atom
**ρ**: 6477 kg/m³
**Density of states at the Fermi level**: 3.27 states/eV/f.u.



(8)
# CaTmHg2

CaTmHg2 after structural relaxation (PBEsol, Alexandria via LeMat-Bulk).

abc: 7.289 7.289 7.289
angles: 90.00 90.00 90.00
Space group Fm-3m (No. 225)
One atom of each set of equivalent atoms:
Ca1 0.000 0.000 0.000
Tm1 0.000 0.000 0.500
Hg1 0.250 0.250 0.250

Output
**E_form**: -0.5981 eV/atom
**ρ**: 10467 kg/m³
**Density of states at the Fermi level**: 2.52 states/eV/f.u.